1.
Material: TbZrCd14
Method: DFT, PBE
State: optimized geometry

DOS(E_F)   8.259 states/eV per cell
Calculated formation energy   -0.08 eV per atom
Symmetry   P4/mmm, No. 123
E_tot   -1.705 eV/atom

abc: 6.523 6.523 8.467
angles: 90.00 90.00 89.99
Fractional positions:
Tb  0.875  0.875  0.500
Zr  0.375  0.375  0.500
Cd  0.875  0.875  0.000
Cd  0.375  0.375  0.000
Cd  0.875  0.375  0.500
Cd  0.875  0.375  0.000
Cd  0.375  0.875  0.500
Cd  0.375  0.875  0.000
Cd  0.620  0.130  0.247
Cd  0.620  0.130  0.753
Cd  0.130  0.620  0.247
Cd  0.130  0.620  0.753
Cd  0.620  0.620  0.247
Cd  0.620  0.620  0.753
Cd  0.130  0.130  0.247
Cd  0.130  0.130  0.753

2.
Material: PuGa3Co
Method: DFT, PBE
State: optimized geometry

DOS(E_F)   24.244 states/eV per cell
Calculated formation energy   -0.24 eV per atom
Symmetry   P2_1/m, No. 11
E_tot   -6.339 eV/atom

abc: 4.403 4.213 9.913
angles: 90.00 94.25 90.00
Fractional positions:
Pu  0.037  0.250  0.170
Pu  0.963  0.750  0.830
Ga  0.482  0.250  0.925
Ga  0.518  0.750  0.075
Ga  0.951  0.750  0.391
Ga  0.049  0.250  0.609
Ga  0.554  0.250  0.414
Ga  0.446  0.750  0.586
Co  0.431  0.750  0.306
Co  0.569  0.250  0.694